FePt | PBE | relaxed

a = 2.7206 Å, b = 2.7206 Å, c = 3.7728 Å
α = 90.00°, β = 90.00°, γ = 90.00°
Closest atoms and distances in Å follow each position.
Atoms (fractional coordinates):
Fe1 0.0000 0.0000 0.0000  8 Pt 2.69, 4 Fe 2.72
Pt1 0.5000 0.5000 0.5000  8 Fe 2.69, 4 Pt 2.72



FePt6 | PBE | relaxed

a = 5.4159 Å, b = 5.4159 Å, c = 5.4159 Å
α = 60.00°, β = 60.00°, γ = 60.00°
Closest atoms and distances in Å follow each position.
Atoms (fractional coordinates):
Fe1 0.0000 0.0000 0.0000  12 Pt 2.71
Pt1 0.0000 0.0000 0.5000  2 Fe 2.71, 8 Pt 2.71
Pt2 0.0000 0.5000 0.0000  2 Fe 2.71, 8 Pt 2.71
Pt3 0.0000 0.5000 0.5000  2 Fe 2.71, 8 Pt 2.71
Pt4 0.5000 0.0000 0.0000  2 Fe 2.71, 8 Pt 2.71
Pt5 0.5000 0.0000 0.5000  2 Fe 2.71, 8 Pt 2.71
Pt6 0.5000 0.5000 0.0000  2 Fe 2.71, 8 Pt 2.71



Fe2Pt3 | PBE | relaxed

a = 5.6062 Å, b = 5.6062 Å, c = 5.6062 Å
α = 72.20°, β = 72.20°, γ = 72.20°
Closest atoms and distances in Å follow each position.
Atoms (fractional coordinates):
Fe1 0.0955 0.0955 0.0955  1 Fe 2.35, 6 Pt 2.48-2.57
Fe2 0.4045 0.4045 0.4045  1 Fe 2.35, 6 Pt 2.48-2.57
Fe3 0.5955 0.5955 0.5955  1 Fe 2.35, 6 Pt 2.48-2.57
Fe4 0.9045 0.9045 0.9045  1 Fe 2.35, 6 Pt 2.48-2.57
Pt1 0.0105 0.7500 0.4895  4 Fe 2.48-2.57
Pt2 0.2500 0.5105 0.9895  4 Fe 2.48-2.57
Pt3 0.4895 0.0105 0.7500  4 Fe 2.48-2.57
Pt4 0.5105 0.9895 0.2500  4 Fe 2.48-2.57
Pt5 0.7500 0.4895 0.0105  4 Fe 2.48-2.57
Pt6 0.9895 0.2500 0.5105  4 Fe 2.48-2.57



Fe2Pt | PBE | relaxed

a = 5.1203 Å, b = 5.1203 Å, c = 4.2615 Å
α = 90.00°, β = 90.00°, γ = 90.00°
Closest atoms and distances in Å follow each position.
Atoms (fractional coordinates):
Fe1 0.1680 0.1680 0.0000  3 Pt 2.40-2.45, 1 Fe 2.43
Fe2 0.3320 0.6680 0.5000  3 Pt 2.40-2.45, 1 Fe 2.43
Fe3 0.6680 0.3320 0.5000  3 Pt 2.40-2.45, 1 Fe 2.43
Fe4 0.8320 0.8320 0.0000  3 Pt 2.40-2.45, 1 Fe 2.43
Pt1 0.0000 0.0000 0.5000  6 Fe 2.40-2.45
Pt2 0.5000 0.5000 0.0000  6 Fe 2.40-2.45



Fe7Pt2 | PBE | relaxed

a = 12.1398 Å, b = 12.1398 Å, c = 12.1398 Å
α = 22.33°, β = 22.33°, γ = 22.33°
Closest atoms and distances in Å follow each position.
Atoms (fractional coordinates):
Fe1 0.0000 0.0000 0.0000  6 Fe 2.38
Fe2 0.0000 0.0000 0.5000  8 Fe 2.35-2.40
Fe3 0.0000 0.5000 0.0000  8 Fe 2.35-2.40
Fe4 0.1115 0.1115 0.1115  6 Fe 2.38-2.43
Fe5 0.1130 0.1130 0.6090  7 Fe 2.33-2.43
Fe6 0.1130 0.6090 0.1130  7 Fe 2.33-2.43
Fe7 0.2223 0.2223 0.2223  6 Fe 2.40
Fe8 0.3910 0.8870 0.8870  7 Fe 2.33-2.43
Fe9 0.5000 0.0000 0.0000  8 Fe 2.35-2.40
Fe10 0.6090 0.1130 0.1130  7 Fe 2.33-2.43
Fe11 0.7777 0.7777 0.7777  6 Fe 2.40
Fe12 0.8870 0.3910 0.8870  7 Fe 2.33-2.43
Fe13 0.8870 0.8870 0.3910  7 Fe 2.33-2.43
Fe14 0.8885 0.8885 0.8885  6 Fe 2.38-2.43
Pt1 0.3475 0.3475 0.3475  12 Fe 2.76-2.80, 3 Pt 2.89
Pt2 0.4479 0.4479 0.4479  12 Fe 2.72-2.99
Pt3 0.5521 0.5521 0.5521  12 Fe 2.72-2.99
Pt4 0.6525 0.6525 0.6525  12 Fe 2.76-2.80, 3 Pt 2.89



Fe2Pt | PBE | relaxed

a = 7.7041 Å, b = 7.7041 Å, c = 7.7041 Å
α = 60.00°, β = 60.00°, γ = 60.00°
Closest atoms and distances in Å follow each position.
Atoms (fractional coordinates):
Fe1 0.0000 0.0000 0.0000  2 Pt 2.36
Fe2 0.0000 0.0000 0.5000  2 Pt 2.36
Fe3 0.0000 0.5000 0.0000  2 Pt 2.36
Fe4 0.5000 0.0000 0.0000  2 Pt 2.36
Pt1 0.1250 0.1250 0.1250  4 Fe 2.36
Pt2 0.8750 0.8750 0.8750  4 Fe 2.36



Number 1: energy of formation from the pure elements -0.24 eV/atom. Number 2: energy of formation from the pure elements 0.06 eV/atom. Number 3: energy of formation from the pure elements 0.09 eV/atom. Number 4: energy of formation from the pure elements 0.82 eV/atom. Number 5: energy of formation from the pure elements 0.14 eV/atom. Number 6: energy of formation from the pure elements 2.02 eV/atom.